Model 1:
DFT (PBE) results for a relaxed structure of MgZnSeO.

Summary:
- Space group: P4/nmm, No. 129

Cell: 4.8691 4.8691 6.4698 Å, 90.00 90.00 90.00°
Last column: nearest neighbours and their distance in Å.
Atoms (fractional coordinates):
Se: 0.7500 0.2500 0.5000  4 Zn 2.64
Se: 0.2500 0.7500 0.5000  4 Zn 2.64
Mg: 0.7500 0.7500 0.2132  1 O 1.80
Mg: 0.2500 0.2500 0.7868  1 O 1.80
Zn: 0.2500 0.2500 0.3405  1 O 1.78
Zn: 0.7500 0.7500 0.6595  1 O 1.78
O: 0.2500 0.2500 0.0649  1 Zn 1.78, 1 Mg 1.80
O: 0.7500 0.7500 0.9351  1 Zn 1.78, 1 Mg 1.80



Model 2:
DFT (PBE) results for a relaxed structure of MgZnSeO.

Summary:
- Space group: Pca2_1, No. 29

Cell: 6.1471 7.4697 5.8390 Å, 90.00 90.00 90.00°
Last column: nearest neighbours and their distance in Å.
Atoms (fractional coordinates):
O: 0.5875 0.9081 0.1142  3 Mg 2.01-2.02, 1 Zn 2.03
O: 0.4125 0.0919 0.6142  3 Mg 2.01-2.02, 1 Zn 2.03
O: 0.0875 0.0919 0.1142  3 Mg 2.01-2.02, 1 Zn 2.03
O: 0.9125 0.9081 0.6142  3 Mg 2.01-2.02, 1 Zn 2.03
Mg: 0.6239 0.9270 0.4555  3 O 2.01-2.02
Mg: 0.3761 0.0730 0.9555  3 O 2.01-2.02
Mg: 0.8761 0.9270 0.9555  3 O 2.01-2.02
Mg: 0.1239 0.0730 0.4555  3 O 2.01-2.02
Se: 0.5628 0.3521 0.1293  3 Zn 2.46-2.47, 1 Mg 2.59
Se: 0.4372 0.6479 0.6293  3 Zn 2.46-2.47, 1 Mg 2.59
Se: 0.9372 0.3521 0.6293  3 Zn 2.46-2.47, 1 Mg 2.59
Se: 0.0628 0.6479 0.1293  3 Zn 2.46-2.47, 1 Mg 2.59
Zn: 0.5425 0.3366 0.5511  1 O 2.03
Zn: 0.4575 0.6634 0.0511  1 O 2.03
Zn: 0.9575 0.3366 0.0511  1 O 2.03
Zn: 0.0425 0.6634 0.5511  1 O 2.03



Model 3:
DFT (PBE) results for a relaxed structure of MgZnSeO.

Summary:
- Space group: Pnma, No. 62

Cell: 5.8597 3.5496 12.7580 Å, 90.00 90.00 90.00°
Last column: nearest neighbours and their distance in Å.
Atoms (fractional coordinates):
Se: 0.2326 0.2500 0.9281  3 Zn 2.49-2.74, 2 Mg 2.56
Se: 0.7326 0.2500 0.5719  3 Zn 2.49-2.74, 2 Mg 2.56
Se: 0.2674 0.7500 0.4281  3 Zn 2.49-2.74, 2 Mg 2.56
Se: 0.7674 0.7500 0.0719  3 Zn 2.49-2.74, 2 Mg 2.56
Zn: 0.6903 0.7500 0.4091  2 O 2.13
Zn: 0.8097 0.2500 0.9091  2 O 2.13
Zn: 0.1903 0.7500 0.0909  2 O 2.13
Zn: 0.3097 0.2500 0.5909  2 O 2.13
Mg: 0.4042 0.7500 0.8067  2 O 1.94
Mg: 0.0958 0.2500 0.3067  2 O 1.94
Mg: 0.9042 0.7500 0.6933  2 O 1.94
Mg: 0.5958 0.2500 0.1933  2 O 1.94
O: 0.7337 0.7500 0.8240  2 Mg 1.94, 2 Zn 2.13
O: 0.2337 0.7500 0.6760  2 Mg 1.94, 2 Zn 2.13
O: 0.2663 0.2500 0.1760  2 Mg 1.94, 2 Zn 2.13
O: 0.7663 0.2500 0.3240  2 Mg 1.94, 2 Zn 2.13



Model 4:
DFT (PBE) results for a relaxed structure of MgZnSeO.

Summary:
- Space group: Cmcm, No. 63

Cell: 3.5445 5.7838 6.3407 Å, 90.00 73.77 90.00°
Last column: nearest neighbours and their distance in Å.
Atoms (fractional coordinates):
Zn: 0.5858 0.2500 0.8284  4 O 2.51, 2 Se 2.52
Zn: 0.4142 0.7500 0.1716  4 O 2.51, 2 Se 2.52
Se: 0.2324 0.2500 0.5353  2 Zn 2.52, 2 Mg 2.61
Se: 0.7676 0.7500 0.4647  2 Zn 2.52, 2 Mg 2.61
O: 0.0000 0.5000 0.0000  2 Mg 1.98
O: 0.0000 0.0000 0.0000  2 Mg 1.98
Mg: 0.1108 0.7500 0.7785  2 O 1.98
Mg: 0.8892 0.2500 0.2215  2 O 1.98



The structure with the most favorable energy is model 2; the runner-up is 189 meV per atom above it.



Model 1:
DFT (PBE) results for a relaxed structure of MgZnSeO.

Summary:
- Space group: Cmce, No. 64

Cell: 7.8863 8.5684 7.5317 Å, 90.00 90.00 90.00°
Last column: nearest neighbours and their distance in Å.
Atoms (fractional coordinates):
O: 0.2380 0.2502 0.4999  2 Zn 2.00, 2 Mg 2.14
O: 0.2620 0.7502 0.4999  2 Zn 2.00, 2 Mg 2.14
O: 0.7620 0.7498 0.5001  2 Zn 2.00, 2 Mg 2.14
O: 0.7620 0.7502 0.0000  2 Zn 2.00-2.01, 2 Mg 2.14
O: 0.2620 0.7498 0.0000  2 Zn 2.00-2.01, 2 Mg 2.14
O: 0.7380 0.2498 0.5001  2 Zn 2.00, 2 Mg 2.14
O: 0.2380 0.2498 0.0000  2 Zn 2.00-2.01, 2 Mg 2.14
O: 0.7380 0.2502 0.0000  2 Zn 2.00-2.01, 2 Mg 2.14
Mg: 0.7494 0.5003 0.0000  2 O 2.14
Mg: 0.7506 0.4997 0.5000  2 O 2.14
Mg: 0.2494 0.5003 0.5000  2 O 2.14
Mg: 0.7494 0.9997 0.5000  2 O 2.14
Mg: 0.2506 0.0003 0.5000  2 O 2.14
Mg: 0.2506 0.4997 0.0000  2 O 2.14
Mg: 0.2494 0.9997 0.0000  2 O 2.14
Mg: 0.7506 0.0003 0.0000  2 O 2.14
Zn: 0.3492 0.7498 0.2499  2 O 2.00
Zn: 0.3492 0.7501 0.7499  2 O 2.00-2.01
Zn: 0.6508 0.2499 0.2501  2 O 2.00-2.01
Zn: 0.8492 0.7498 0.2501  2 O 2.00-2.01
Zn: 0.8492 0.7501 0.7501  2 O 2.00
Zn: 0.1508 0.2501 0.7499  2 O 2.00-2.01
Zn: 0.6508 0.2501 0.7501  2 O 2.00
Zn: 0.1508 0.2499 0.2499  2 O 2.00
Se: 0.5001 0.0000 0.7503  2 Zn 2.45, 4 Mg 2.72-2.73
Se: 0.9999 0.0000 0.2503  2 Zn 2.45, 4 Mg 2.72-2.73
Se: 0.0001 0.0000 0.7497  2 Zn 2.45, 4 Mg 2.72-2.73
Se: 0.4999 0.0000 0.2497  2 Zn 2.45, 4 Mg 2.72-2.73
Se: 0.9999 0.5000 0.7503  2 Zn 2.45, 4 Mg 2.72-2.73
Se: 0.5001 0.5000 0.2503  2 Zn 2.45, 4 Mg 2.72-2.73
Se: 0.0001 0.5000 0.2497  2 Zn 2.45, 4 Mg 2.72-2.73
Se: 0.4999 0.5000 0.7497  2 Zn 2.45, 4 Mg 2.72-2.73



Model 2:
DFT (PBE) results for a relaxed structure of MgZnSeO.

Summary:
- Space group: P6_3mc, No. 186

Cell: 3.5880 3.5881 11.5986 Å, 90.00 90.00 120.00°
Last column: nearest neighbours and their distance in Å.
Atoms (fractional coordinates):
O: 0.0000 0.0000 0.8236  1 Zn 1.94, 3 Mg 2.14
O: 0.0000 0.0000 0.3236  1 Zn 1.94, 3 Mg 2.14
Zn: 0.0000 0.0000 0.4907  1 O 1.94
Zn: 0.0000 0.0000 0.9907  1 O 1.94
Se: 0.6667 0.3334 0.0968  3 Zn 2.41
Se: 0.3333 0.6666 0.5968  3 Zn 2.41
Mg: 0.3333 0.6666 0.2766  3 O 2.14
Mg: 0.6667 0.3334 0.7766  3 O 2.14



Model 3:
DFT (PBE) results for a relaxed structure of MgZnSeO.

Summary:
- Space group: P2_12_12_1, No. 19

Cell: 6.1177 6.3270 7.2684 Å, 90.00 90.00 90.00°
Last column: nearest neighbours and their distance in Å.
Atoms (fractional coordinates):
Zn: 0.0842 0.2231 0.1098  2 O 2.00-2.03
Zn: 0.4158 0.7769 0.6098  2 O 2.00-2.03
Zn: 0.9158 0.7231 0.3902  2 O 2.00-2.03
Zn: 0.5842 0.2769 0.8902  2 O 2.00-2.03
O: 0.9016 0.2040 0.8773  2 Mg 1.99, 2 Zn 2.00-2.03
O: 0.5984 0.7960 0.3773  2 Mg 1.99, 2 Zn 2.00-2.03
O: 0.4016 0.2960 0.1227  2 Mg 1.99, 2 Zn 2.00-2.03
O: 0.0984 0.7040 0.6227  2 Mg 1.99, 2 Zn 2.00-2.03
Mg: 0.5028 0.5834 0.1931  2 O 1.99
Mg: 0.4972 0.0834 0.3069  2 O 1.99
Mg: 0.9972 0.4166 0.6931  2 O 1.99
Mg: 0.0028 0.9166 0.8069  2 O 1.99
Se: 0.1522 0.8255 0.1404  2 Zn 2.41-2.56, 2 Mg 2.65-2.66
Se: 0.6522 0.6745 0.8596  2 Zn 2.41-2.56, 2 Mg 2.65-2.66
Se: 0.8478 0.3255 0.3596  2 Zn 2.41-2.56, 2 Mg 2.65-2.66
Se: 0.3478 0.1745 0.6404  2 Zn 2.41-2.56, 2 Mg 2.65-2.66



Model 4:
DFT (PBE) results for a relaxed structure of MgZnSeO.

Summary:
- Space group: Cmc2_1, No. 36

Cell: 6.7309 6.7309 5.6183 Å, 90.00 90.00 30.90°
Last column: nearest neighbours and their distance in Å.
Atoms (fractional coordinates):
Se: 0.3268 0.3268 0.5095  2 Zn 2.44, 1 Mg 2.66
Se: 0.6732 0.6732 0.0095  2 Zn 2.44, 1 Mg 2.66
O: 0.9226 0.9226 0.0240  2 Zn 1.95-2.01, 2 Mg 2.06
O: 0.0774 0.0774 0.5240  2 Zn 1.95-2.01, 2 Mg 2.06
Mg: 0.3476 0.3476 0.9804  2 O 2.06
Mg: 0.6524 0.6524 0.4804  2 O 2.06
Zn: 0.0588 0.0588 0.8787  2 O 1.95-2.01
Zn: 0.9412 0.9412 0.3787  2 O 1.95-2.01



The structure with the most favorable energy is model 3; the runner-up is 9 meV per atom above it.